This record from Alexandria describes a relaxed Mg5Re crystal. The functional is PBE.

abc: 5.433 5.433 4.925
angles: 90.00 90.00 120.00
Last column: magnetic moment on the atom in μB.
Positions (direct):
Mg 0.000 0.500 0.500  -0.01
Mg 0.333 0.667 0.000  -0.01
Mg 0.500 0.000 0.500  -0.01
Mg 0.500 0.500 0.500  -0.01
Mg 0.667 0.333 0.000  -0.01
Re 0.000 0.000 0.000  1.70

Calculated values
Energy: -2.62 eV per atom
D(E_F): 5.38 states/eV per cell
Relative energy among the computed polymorphs: 0.5709 eV per atom
Energy of formation from the pure elements: 781 meV per atom
SG: P6/mmm, No. 191